Computed, not measured: a geometry-optimized LiPmTmIr structure at the GGA-PBE level of DFT.

Unit cell a=4.9510 b=4.9510 c=4.9510 alpha=60.00 beta=60.00 gamma=60.00
Atoms (fractional coordinates):
Tm 0.2500 0.2500 0.2500
Li 0.0000 0.0000 0.0000
Pm 0.7500 0.7500 0.7500
Ir 0.5000 0.5000 0.5000

Values from the calculation:
E ... -5.5245 eV per atom
M_tot ... 0.00 μB per atom
SG ... F-43m
Formation enthalpy at 0 K ... -2.1 eV/f.u.

***

Computed, not measured: a geometry-optimized TaSnMo2 structure at the GGA-PBE level of DFT.

Unit cell a=3.4212 b=3.4212 c=6.0368 alpha=90.00 beta=90.00 gamma=90.00
Atoms (fractional coordinates):
Ta 0.5000 0.5000 0.0000
Sn 0.5000 0.5000 0.5000
Mo 0.0000 0.0000 0.7610
Mo 0.0000 0.0000 0.2390

Values from the calculation:
E ... -9.3027 eV per atom
M_tot ... 0.00 μB per atom
Relative energy among the computed polymorphs ... 0.000 eV per atom
SG ... P4/mmm
Formation enthalpy at 0 K ... 0.3 eV/f.u.

***

Computed, not measured: a geometry-optimized Rb3ErTa2O9 structure at the GGA-PBE level of DFT.

Unit cell a=5.9623 b=5.9623 c=7.3181 alpha=90.00 beta=90.00 gamma=120.00
Atoms (fractional coordinates):
O 0.3532 0.1766 0.6842
O 0.0000 0.5000 0.0000
O 0.8234 0.6468 0.6842
O 0.1766 0.8234 0.3158
O 0.5000 0.0000 0.0000
O 0.5000 0.5000 0.0000
O 0.6468 0.8234 0.3158
O 0.8234 0.1766 0.6842
O 0.1766 0.3532 0.3158
Er 0.0000 0.0000 0.5000
Rb 0.0000 0.0000 0.0000
Rb 0.6667 0.3333 0.3342
Rb 0.3333 0.6667 0.6658
Ta 0.3333 0.6667 0.1687
Ta 0.6667 0.3333 0.8313

Values from the calculation:
Raw formation energy ... -3492 kJ/mol of formula units
E ... -7.4661 eV per atom
M_tot ... 0.14 μB per atom
SG ... P-3m1

***

Computed, not measured: a geometry-optimized MgPPt2 structure at the GGA-PBE level of DFT.

Unit cell a=3.4330 b=3.4330 c=5.3521 alpha=90.00 beta=90.00 gamma=90.00
Atoms (fractional coordinates):
Pt 0.5000 0.5000 0.2641
Pt 0.0000 0.0000 0.9525
P 0.5000 0.5000 0.8099
Mg 0.0000 0.0000 0.4734

Values from the calculation:
E ... -5.2342 eV per atom
M_tot ... 0.00 μB per atom
SG ... P4mm
Formation enthalpy at 0 K ... -1.9 eV/f.u.

***

Computed, not measured: a geometry-optimized HgP2O2 structure at the GGA-PBE level of DFT.

Unit cell a=3.5776 b=3.5776 c=4.9293 alpha=90.00 beta=90.00 gamma=90.00
Atoms (fractional coordinates):
P 0.0000 0.0000 0.5000
P 0.0000 0.0000 0.0000
Hg 0.5000 0.5000 0.5000
O 0.5000 0.0000 0.0000
O 0.0000 0.5000 0.0000

Values from the calculation:
Raw formation energy ... -176 kJ/mol of formula units
E ... -4.5724 eV per atom
M_tot ... 0.00 μB per atom
Relative energy among the computed polymorphs ... 0.000 eV per atom
SG ... P4/mmm

***

Computed, not measured: a geometry-optimized Ag4H5Pd3 structure at the GGA-PBE level of DFT.

Unit cell a=4.3786 b=7.6371 c=6.8624 alpha=139.78 beta=92.16 gamma=105.48
Atoms (fractional coordinates):
Pd 0.5000 0.0000 0.5000
Pd 0.7768 0.5730 0.2161
Pd 0.2232 0.4270 0.7839
H 0.6019 0.1707 0.9011
H 0.0000 0.0000 0.5000
H 0.3589 0.5945 0.1949
H 0.6411 0.4055 0.8051
H 0.3981 0.8293 0.0989
Ag 0.3485 0.7046 0.6350
Ag 0.0643 0.1368 0.9309
Ag 0.9357 0.8632 0.0691
Ag 0.6515 0.2954 0.3650

Values from the calculation:
E ... -3.6167 eV per atom
M_tot ... 0.00 μB per atom
SG ... P-1

***

Computed, not measured: a geometry-optimized Tb2HoZr3N6 structure at the GGA-PBE level of DFT.

Unit cell a=5.7936 b=5.7936 c=5.8547 alpha=99.53 beta=99.53 gamma=119.92
Atoms (fractional coordinates):
N 0.0895 0.4204 0.2679
N 0.2416 0.2416 0.7324
N 0.4204 0.0895 0.2679
N 0.9105 0.5796 0.7321
N 0.5796 0.9105 0.7321
N 0.7584 0.7584 0.2676
Ho 0.0000 0.0000 0.0000
Zr 0.5000 0.5000 0.5000
Zr 0.8338 0.1662 0.5000
Zr 0.1662 0.8338 0.5000
Tb 0.3334 0.6666 0.0000
Tb 0.6666 0.3334 0.0000

Values from the calculation:
Raw formation energy ... -1993 kJ/mol of formula units
E ... -9.1745 eV per atom
M_tot ... 0.00 μB per atom
SG ... C2/m

***

Computed, not measured: a geometry-optimized LiPmNdAu structure at the GGA-PBE level of DFT.

Unit cell a=3.8161 b=5.1704 c=5.1844 alpha=90.00 beta=90.00 gamma=90.00
Atoms (fractional coordinates):
Au 0.0000 0.5000 0.5000
Li 0.0000 0.0000 0.0000
Nd 0.5000 0.5000 0.0000
Pm 0.5000 0.0000 0.5000

Values from the calculation:
E ... -4.0385 eV per atom
M_tot ... 0.00 μB per atom
Relative energy among the computed polymorphs ... 0.000 eV per atom
SG ... Pmmm
Formation enthalpy at 0 K ... -1.4 eV/f.u.